DFT (PBE with a Hubbard U) results for a relaxed structure of MgFeAg2F6.

Output
* raw total energy: -4.572 eV/atom
* density of states at the Fermi level: 2.6 states/eV per cell
* M_tot: 8.0 Bohr magnetons per cell

Lattice parameters (Å, degrees): 5.6484 5.7762 8.1627 90.00 90.00 90.00
Last column: nearest neighbours and their distance in Å.
Space group Immm (No. 71)
One atom of each set of equivalent atoms:
Mg1 0.0000 0.0000 0.0000 [2 per cell]  6 F 1.98
Fe1 0.0000 0.0000 0.5000 [2 per cell]  6 F 2.06-2.10
Ag1 0.0000 0.5000 0.2489 [4 per cell]  12 F 2.82-2.89
F1 0.0000 0.0000 0.2430 [4 per cell]  1 Mg 1.98, 1 Fe 2.10
F2 0.2480 0.2431 0.0000 [8 per cell]  1 Mg 1.98, 1 Fe 2.06